VASP calculation (PBEsol) on a relaxed structure of Sc2O3.

a = 5.3235 Å, b = 5.3235 Å, c = 5.6261 Å
α = 61.76°, β = 61.76°, γ = 60.00°
Closest atoms and distances in Å follow each position.
Positions (direct):
Sc1 0.6438 0.6438 0.0685  6 O 2.06-2.19
Sc2 0.8562 0.8562 0.4315  6 O 2.06-2.19
Sc3 0.3562 0.3562 0.9315  6 O 2.06-2.19
Sc4 0.1438 0.1438 0.5685  6 O 2.06-2.19
O1 0.5486 0.9514 0.2500  4 Sc 2.06-2.19
O2 0.9514 0.2500 0.2500  4 Sc 2.06-2.19
O3 0.0486 0.7500 0.7500  4 Sc 2.06-2.19
O4 0.2500 0.5486 0.2500  4 Sc 2.06-2.19
O5 0.7500 0.4514 0.7500  4 Sc 2.06-2.19
O6 0.4514 0.0486 0.7500  4 Sc 2.06-2.19

Results
* E: -9.352 eV/atom
* Fermi-level density of states: 0.0000 states/eV/atom
* V: 116 Å³ per cell
* formation energy (no corrections): -3.560 eV/atom


VASP calculation (PBEsol) on a relaxed structure of Sc2O3.

a = 5.3884 Å, b = 9.1457 Å, c = 9.9106 Å
α = 90.00°, β = 90.00°, γ = 90.00°
Closest atoms and distances in Å follow each position.
Positions (direct):
O1 0.1576 0.8394 0.2621  4 Sc 2.00-2.21
O2 0.3424 0.3394 0.7621  4 Sc 2.00-2.21
O3 0.6545 0.0083 0.2711  3 Sc 2.01-2.04
O4 0.9800 0.0172 0.9934  4 Sc 1.99-2.15
O5 0.3455 0.9917 0.7711  3 Sc 2.01-2.04
O6 0.1519 0.1654 0.2295  3 Sc 1.99-2.05
O7 0.0126 0.3286 0.9897  3 Sc 2.12-2.21
O8 0.8424 0.1606 0.7621  4 Sc 2.00-2.21
O9 0.8455 0.5083 0.7711  3 Sc 2.01-2.04
O10 0.5200 0.5172 0.4934  4 Sc 1.99-2.15
O11 0.0457 0.6753 0.0047  3 Sc 1.96-2.06
O12 0.5457 0.8247 0.0047  3 Sc 1.96-2.06
O13 0.0200 0.9828 0.4934  4 Sc 1.99-2.15
O14 0.4874 0.8286 0.4897  3 Sc 2.12-2.21
O15 0.6519 0.3346 0.2295  3 Sc 1.99-2.05
O16 0.1545 0.4917 0.2711  3 Sc 2.01-2.04
O17 0.9543 0.3247 0.5047  3 Sc 1.96-2.06
O18 0.5126 0.1714 0.9897  3 Sc 2.12-2.21
O19 0.8481 0.8346 0.7295  3 Sc 1.99-2.05
O20 0.4543 0.1753 0.5047  3 Sc 1.96-2.06
O21 0.9874 0.6714 0.4897  3 Sc 2.12-2.21
O22 0.3481 0.6654 0.7295  3 Sc 1.99-2.05
O23 0.4800 0.4828 0.9934  4 Sc 1.99-2.15
O24 0.6576 0.6606 0.2621  4 Sc 2.00-2.21
Sc1 0.6927 0.6537 0.6435  5 O 2.01-2.21
Sc2 0.3001 0.3586 0.5625  4 O 1.96-2.00
Sc3 0.6868 0.3391 0.8695  6 O 2.02-2.16
Sc4 0.1868 0.1609 0.8695  6 O 2.02-2.16
Sc5 0.1999 0.8586 0.0625  4 O 1.96-2.00
Sc6 0.8001 0.1414 0.5625  4 O 1.96-2.00
Sc7 0.1822 0.5333 0.8615  5 O 1.99-2.21
Sc8 0.1927 0.8463 0.6435  5 O 2.01-2.21
Sc9 0.3073 0.3463 0.1435  5 O 2.01-2.21
Sc10 0.3178 0.0333 0.3615  5 O 1.99-2.21
Sc11 0.8073 0.1537 0.1435  5 O 2.01-2.21
Sc12 0.6999 0.6414 0.0625  4 O 1.96-2.00
Sc13 0.6822 0.9667 0.8615  5 O 1.99-2.21
Sc14 0.8132 0.8391 0.3695  6 O 2.02-2.16
Sc15 0.3132 0.6609 0.3695  6 O 2.02-2.16
Sc16 0.8178 0.4667 0.3615  5 O 1.99-2.21

Results
* E: -9.297 eV/atom
* Fermi-level density of states: 0.0000 states/eV/atom
* V: 488 Å³ per cell
* formation energy (no corrections): -3.505 eV/atom


VASP calculation (PBEsol) on a relaxed structure of Sc2O3.

a = 5.3702 Å, b = 5.3702 Å, c = 5.7840 Å
α = 62.34°, β = 62.34°, γ = 60.00°
Closest atoms and distances in Å follow each position.
Positions (direct):
O1 0.7126 0.3885 0.7826  4 Sc 2.04-2.23
O2 0.6115 0.8837 0.2174  4 Sc 2.04-2.23
O3 0.8837 0.2874 0.2174  4 Sc 2.04-2.23
O4 0.3885 0.1163 0.7826  4 Sc 2.04-2.23
O5 0.1163 0.7126 0.7826  4 Sc 2.04-2.23
O6 0.2874 0.6115 0.2174  4 Sc 2.04-2.23
Sc1 0.0000 0.0000 0.0000  6 O 2.11
Sc2 0.5000 0.5000 0.5000  6 O 2.12
Sc3 0.2998 0.2998 0.1005  6 O 2.04-2.23
Sc4 0.7002 0.7002 0.8995  6 O 2.04-2.23

Results
* E: -9.300 eV/atom
* Fermi-level density of states: 0.0000 states/eV/atom
* V: 122 Å³ per cell
* formation energy (no corrections): -3.508 eV/atom


VASP calculation (PBEsol) on a relaxed structure of Sc2O3.

a = 8.4921 Å, b = 8.4921 Å, c = 8.4921 Å
α = 109.47°, β = 109.47°, γ = 109.47°
Closest atoms and distances in Å follow each position.
Positions (direct):
O1 0.7726 0.5355 0.0461  4 Sc 2.08-2.15
O2 0.0461 0.0106 0.7734  4 Sc 2.08-2.15
O3 0.4894 0.0355 0.2628  4 Sc 2.08-2.15
O4 0.2274 0.4645 0.9539  4 Sc 2.08-2.15
O5 0.5355 0.5461 0.2726  4 Sc 2.08-2.15
O6 0.7274 0.7734 0.7628  4 Sc 2.08-2.15
O7 0.4645 0.4539 0.7274  4 Sc 2.08-2.15
O8 0.7734 0.2628 0.2274  4 Sc 2.08-2.15
O9 0.7372 0.2726 0.7266  4 Sc 2.08-2.15
O10 0.4539 0.2274 0.9645  4 Sc 2.08-2.15
O11 0.5106 0.9645 0.7372  4 Sc 2.08-2.15
O12 0.2726 0.2266 0.2372  4 Sc 2.08-2.15
O13 0.0106 0.2734 0.5461  4 Sc 2.08-2.15
O14 0.7266 0.9539 0.4894  4 Sc 2.08-2.15
O15 0.2266 0.7372 0.7726  4 Sc 2.08-2.15
O16 0.9645 0.2372 0.0106  4 Sc 2.08-2.15
O17 0.0355 0.7628 0.9894  4 Sc 2.08-2.15
O18 0.9894 0.7266 0.4539  4 Sc 2.08-2.15
O19 0.2372 0.5106 0.4645  4 Sc 2.08-2.15
O20 0.7628 0.4894 0.5355  4 Sc 2.08-2.15
O21 0.5461 0.7726 0.0355  4 Sc 2.08-2.15
O22 0.9539 0.9894 0.2266  4 Sc 2.08-2.15
O23 0.2734 0.0461 0.5106  4 Sc 2.08-2.15
O24 0.2628 0.7274 0.2734  4 Sc 2.08-2.15
Sc1 0.0363 0.7863 0.2500  6 O 2.08-2.15
Sc2 0.4637 0.7137 0.7500  6 O 2.08-2.15
Sc3 0.5363 0.2863 0.2500  6 O 2.08-2.15
Sc4 0.0000 0.0000 0.0000  6 O 2.11
Sc5 0.7863 0.7500 0.5363  6 O 2.08-2.15
Sc6 0.5000 0.5000 0.0000  6 O 2.11
Sc7 0.2500 0.4637 0.2137  6 O 2.08-2.15
Sc8 0.5000 0.0000 0.5000  6 O 2.11
Sc9 0.7500 0.0363 0.2863  6 O 2.08-2.15
Sc10 0.2500 0.9637 0.7137  6 O 2.08-2.15
Sc11 0.2137 0.2500 0.4637  6 O 2.08-2.15
Sc12 0.9637 0.2137 0.7500  6 O 2.08-2.15
Sc13 0.7500 0.5363 0.7863  6 O 2.08-2.15
Sc14 0.7137 0.2500 0.9637  6 O 2.08-2.15
Sc15 0.2863 0.7500 0.0363  6 O 2.08-2.15
Sc16 0.0000 0.5000 0.5000  6 O 2.11

Results
* E: -9.391 eV/atom
* Fermi-level density of states: 0.0000 states/eV/atom
* V: 471 Å³ per cell
* formation energy (no corrections): -3.599 eV/atom


VASP calculation (PBEsol) on a relaxed structure of Sc2O3.

a = 3.3611 Å, b = 3.3611 Å, c = 5.5499 Å
α = 90.00°, β = 90.00°, γ = 120.00°
Closest atoms and distances in Å follow each position.
Positions (direct):
Sc1 0.3333 0.6667 0.2488  4 O 2.02-2.21
Sc2 0.6667 0.3333 0.7512  4 O 2.02-2.21
O1 0.6667 0.3333 0.3529  4 Sc 2.02-2.21
O2 0.0000 0.0000 0.0000  6 Sc 2.38
O3 0.3333 0.6667 0.6471  4 Sc 2.02-2.21

Results
* E: -9.278 eV/atom
* Fermi-level density of states: 0.0000 states/eV/atom
* V: 54 Å³ per cell
* formation energy (no corrections): -3.486 eV/atom


VASP calculation (PBEsol) on a relaxed structure of ScO.

a = 3.1250 Å, b = 3.1250 Å, c = 3.1250 Å
α = 60.00°, β = 60.00°, γ = 60.00°
Closest atoms and distances in Å follow each position.
Positions (direct):
Sc1 0.0000 0.0000 0.0000  6 O 2.21
O1 0.5000 0.5000 0.5000  6 Sc 2.21

Results
* E: -8.942 eV/atom
* Fermi-level density of states: 0.4077 states/eV/atom
* V: 22 Å³ per cell
* formation energy (no corrections): -3.014 eV/atom


VASP calculation (PBEsol) on a relaxed structure of Sc2O3.

a = 3.1836 Å, b = 6.7755 Å, c = 7.9744 Å
α = 100.30°, β = 90.00°, γ = 103.59°
Closest atoms and distances in Å follow each position.
Positions (direct):
O1 0.1738 0.3476 0.9652  4 Sc 2.03-2.08
O2 0.8734 0.7469 0.7206  5 Sc 2.08-2.28
O3 0.1266 0.2531 0.2794  5 Sc 2.08-2.28
O4 0.2087 0.4175 0.6217  3 Sc 2.06-2.12
O5 0.8262 0.6524 0.0348  4 Sc 2.03-2.08
O6 0.5320 0.0640 0.6579  3 Sc 2.03-2.10
O7 0.7913 0.5825 0.3783  3 Sc 2.06-2.12
O8 0.4680 0.9360 0.3421  3 Sc 2.03-2.10
O9 0.5000 0.0000 0.0000  4 Sc 2.25
Sc1 0.3646 0.7291 0.5142  6 O 2.06-2.29
Sc2 0.3083 0.6167 0.8633  6 O 2.08-2.22
Sc3 0.6354 0.2709 0.4858  6 O 2.06-2.29
Sc4 0.6917 0.3833 0.1367  6 O 2.08-2.22
Sc5 0.9689 0.9377 0.1842  6 O 2.03-2.25
Sc6 0.0311 0.0623 0.8158  6 O 2.03-2.25

Results
* E: -9.333 eV/atom
* Fermi-level density of states: 0.0000 states/eV/atom
* V: 164 Å³ per cell
* formation energy (no corrections): -3.542 eV/atom